[1]
The following is a PBE calculation of a geometry-optimized CoHg2Pt structure, from Alexandria.

Calculated values
* energy of formation: 0.328 eV/atom
* DOS at the Fermi energy: 1.0530 states/eV/atom

Cell: 3.0051 3.0051 26.8049 Å, 90.00 90.00 120.00°
Space group R-3m (No. 166, hexagonal axes)
Unique sites:
Co1 0.0000 0.0000 0.0000
Hg1 0.0000 0.0000 0.2540
Pt1 0.0000 0.0000 0.5000

[2]
The following is a PBE calculation of a geometry-optimized CoHg2Pt structure, from Alexandria.

Calculated values
* energy of formation: 0.321 eV/atom
* DOS at the Fermi energy: 0.9997 states/eV/atom

Cell: 9.0276 2.9776 5.3105 Å, 90.00 100.81 90.00°
Space group C2/m (No. 12)
Unique sites:
Co1 0.0000 0.0000 0.0000
Hg1 0.2449 0.5000 0.2406
Pt1 0.0000 0.5000 0.5000

[3]
The following is a PBE calculation of a geometry-optimized CoHg2Pt structure, from Alexandria.

Calculated values
* energy of formation: 0.310 eV/atom
* DOS at the Fermi energy: 1.0322 states/eV/atom

Cell: 4.2111 4.2111 3.8928 Å, 90.00 90.00 90.00°
Space group P4/mmm (No. 123)
Unique sites:
Co1 0.0000 0.0000 0.0000
Hg1 0.0000 0.5000 0.5000
Pt1 0.5000 0.5000 0.0000